# 1
KZrIn2: relaxed, PBE-GGA.

E above lowest polymorph	266.0	meV/atom
E	-3.594	eV per atom
magnetization	0.00	μB/f.u.
DOS(E_F)	2.77	states/eV per cell

Cell and atoms, written as POSCAR:
```
KZrIn2
1.0
3.249 0.000 0.000
0.000 3.249 0.000
0.000 0.000 10.817
K Zr In
1 1 2
Direct
0.000 0.000 0.000
0.500 0.500 0.314
0.000 0.000 0.508
0.500 0.500 0.729
```


# 2
K2ZrIn: relaxed, PBE-GGA.

E	-2.848	eV per atom
magnetization	0.93	μB/f.u.
DOS(E_F)	5.45	states/eV per cell

Cell and atoms, written as POSCAR:
```
K2ZrIn
1.0
4.502 0.000 0.000
0.000 4.502 0.000
0.000 0.000 12.554
K Zr In
4 2 2
Direct
0.000 0.500 0.250
0.000 0.500 0.750
0.500 0.000 0.250
0.500 0.000 0.750
0.000 0.000 0.000
0.500 0.500 0.500
0.000 0.000 0.500
0.500 0.500 0.000
```


# 3
KZr2In: relaxed, PBE-GGA.

E	-4.844	eV per atom
magnetization	0.00	μB/f.u.
DOS(E_F)	10.36	states/eV per cell

Cell and atoms, written as POSCAR:
```
KZr2In
1.0
10.382 0.000 0.000
0.000 3.119 0.000
-0.690 0.000 7.520
K Zr In
2 4 2
Direct
0.000 0.000 0.000
0.500 0.500 0.000
0.225 0.000 0.642
0.494 0.000 0.517
0.725 0.500 0.642
0.994 0.500 0.517
0.257 0.500 0.298
0.757 0.000 0.298
```


# 4
K2ZrIn: relaxed, PBE-GGA.

E	-2.556	eV per atom
magnetization	2.18	μB/f.u.
DOS(E_F)	23.86	states/eV per cell

Cell and atoms, written as POSCAR:
```
K2ZrIn
1.0
10.145 0.000 0.000
0.000 10.145 0.000
0.000 0.000 6.116
K Zr In
8 4 4
Direct
0.212 0.750 0.125
0.250 0.212 0.875
0.250 0.288 0.375
0.288 0.750 0.625
0.712 0.250 0.625
0.750 0.712 0.375
0.750 0.788 0.875
0.788 0.250 0.125
0.000 0.000 0.500
0.000 0.500 0.750
0.500 0.000 0.250
0.500 0.500 0.000
0.000 0.000 0.000
0.000 0.500 0.250
0.500 0.000 0.750
0.500 0.500 0.500
```


# 5
KZr4In: relaxed, PBE-GGA.

E	-5.807	eV per atom
magnetization	0.00	μB/f.u.
DOS(E_F)	6.30	states/eV per cell

Cell and atoms, written as POSCAR:
```
KZr4In
1.0
0.000 4.269 4.269
4.269 0.000 4.269
4.269 4.269 0.000
K Zr In
1 4 1
Direct
0.000 0.000 0.000
0.130 0.623 0.623
0.623 0.130 0.623
0.623 0.623 0.130
0.623 0.623 0.623
0.250 0.250 0.250
```


# 6
K2ZrIn: relaxed, PBE-GGA.

E	-2.857	eV per atom
magnetization	1.42	μB/f.u.
DOS(E_F)	3.67	states/eV per cell

Cell and atoms, written as POSCAR:
```
K2ZrIn
1.0
3.780 0.000 0.000
0.000 5.232 0.000
0.000 0.000 6.400
K Zr In
2 1 1
Direct
0.000 0.000 0.000
0.500 0.500 0.000
0.000 0.500 0.500
0.500 0.000 0.500
```


The highest DOS(E_F) belongs to which entry?
number 4


Look up the DOS(E_F) of the first one.
2.77 states/eV per cell